a | A relaxed NaCoSO crystal. Source: OQMD, functional PBE+U.

Calculated values
Total magnetic moment in Bohr magnetons per cell: 7.351
Space group: Pmc2_1, No. 26

Lattice parameters (Å, degrees): 3.5253 7.0176 5.7339 90.00 90.00 90.00
Closest atoms and distances in Å follow each position.
Positions (direct):
Na 0.0000 0.1928 0.0000  2 O 2.31
Na 0.0000 0.8072 0.5000  2 O 2.31
Co 0.5000 0.3899 0.4119  2 O 1.84-1.85
Co 0.5000 0.6101 0.9119  2 O 1.84-1.85
S 0.0000 0.2037 0.5148  2 Co 2.27
S 0.0000 0.7963 0.0148  2 Co 2.27
O 0.5000 0.3915 0.0892  2 Co 1.84-1.85
O 0.5000 0.6085 0.5892  2 Co 1.84-1.85


b | A relaxed NaCoSO crystal. Source: OQMD, functional PBE+U.

Calculated values
Total magnetic moment in Bohr magnetons per cell: 12.000
Space group: P2_1, No. 4

Lattice parameters (Å, degrees): 5.3670 5.5822 9.3117 90.00 90.36 90.00
Closest atoms and distances in Å follow each position.
Positions (direct):
Na 0.1102 0.0000 0.2791  2 O 2.24-2.34
Na 0.2757 0.2905 0.0228  4 S 2.68-2.91
Na 0.7243 0.7905 0.9772  4 S 2.68-2.91
Na 0.8898 0.5000 0.7209  2 O 2.24-2.34
Co 0.0201 0.0053 0.5794  3 O 2.01-2.04
Co 0.4704 0.4966 0.5365  4 O 2.00-2.12
Co 0.5296 0.9966 0.4635  4 O 2.00-2.12
Co 0.9799 0.5053 0.4206  3 O 2.01-2.04
S 0.1721 0.9101 0.8176  1 S 2.15
S 0.3739 0.5785 0.8003  1 S 2.15
S 0.6261 0.0785 0.1997  1 S 2.15
S 0.8279 0.4101 0.1824  1 S 2.15
O 0.2296 0.2429 0.4720  4 Co 2.01-2.12
O 0.2550 0.7476 0.4468  3 Co 2.00-2.03
O 0.7450 0.2476 0.5532  3 Co 2.00-2.03
O 0.7704 0.7429 0.5280  4 Co 2.01-2.12


The structure shown above that is least stable: b.